No. 1
The following is a PBE-GGA calculation of an optimized crystal structure of PmTlHg, from Alexandria via LeMat-Bulk.

extended XYZ file:
```
6
Lattice="2.603 -6.089 0.000 2.603 6.089 0.000 0.000 0.000 5.222" Properties=species:S:1:pos:R:3 pbc="T T T"
Pm 2.603 3.134 3.917
Pm 2.603 -3.134 1.306
Tl 2.603 5.201 1.306
Tl 2.603 -5.201 3.917
Hg 2.603 1.076 1.306
Hg 2.603 -1.076 3.917
```

Results
- Calculated formation energy: -0.271 eV/atom

---

No. 2
The following is a PBE-GGA calculation of an optimized crystal structure of Pm3Tl2Hg4, from Alexandria via LeMat-Bulk.

extended XYZ file:
```
9
Lattice="5.668 -2.506 0.000 5.668 2.506 0.000 -4.355 0.000 8.473" Properties=species:S:1:pos:R:3 pbc="T T T"
Pm 0.000 0.000 0.000
Pm 2.355 0.000 2.796
Pm 4.625 0.000 5.677
Tl 1.268 0.000 6.169
Tl 5.713 0.000 2.304
Hg -0.875 0.000 3.581
Hg -0.822 0.000 8.278
Hg 7.803 0.000 0.196
Hg 7.856 0.000 4.892
```

Results
- Calculated formation energy: -0.379 eV/atom

---

No. 3
The following is a PBE-GGA calculation of an optimized crystal structure of Pm3TlHg, from Alexandria via LeMat-Bulk.

extended XYZ file:
```
10
Lattice="2.690 -10.361 0.000 2.690 10.361 0.000 0.000 0.000 5.378" Properties=species:S:1:pos:R:3 pbc="T T T"
Pm 2.690 9.126 4.033
Pm 2.690 5.186 4.033
Pm 2.690 1.246 4.033
Pm 2.690 -1.246 1.344
Pm 2.690 -5.186 1.344
Pm 2.690 -9.126 1.344
Tl 2.690 7.176 1.344
Tl 2.690 -7.176 4.033
Hg 2.690 3.149 1.344
Hg 2.690 -3.149 4.033
```

Results
- Calculated formation energy: -0.317 eV/atom

---

No. 4
The following is a PBE-GGA calculation of an optimized crystal structure of PmTlHg, from Alexandria via LeMat-Bulk.

extended XYZ file:
```
3
Lattice="4.992 0.000 0.000 -2.496 4.323 0.000 0.000 0.000 3.808" Properties=species:S:1:pos:R:3 pbc="T T T"
Pm 0.000 0.000 0.000
Tl 0.000 2.882 2.206
Hg 2.496 1.441 1.518
```

Results
- Calculated formation energy: -0.342 eV/atom

---

No. 5
The following is a PBE-GGA calculation of an optimized crystal structure of Pm4TlHg3, from Alexandria via LeMat-Bulk.

extended XYZ file:
```
8
Lattice="3.803 0.000 0.000 0.000 3.803 0.000 0.000 0.000 15.570" Properties=species:S:1:pos:R:3 pbc="T T T"
Pm 0.000 0.000 1.910
Pm 0.000 0.000 5.733
Pm 0.000 0.000 9.837
Pm 0.000 0.000 13.660
Tl 1.902 1.902 7.785
Hg 1.902 1.902 0.000
Hg 1.902 1.902 3.836
Hg 1.902 1.902 11.735
```

Results
- Calculated formation energy: -0.450 eV/atom

---

No. 6
The following is a PBE-GGA calculation of an optimized crystal structure of PmTl2Hg, from Alexandria via LeMat-Bulk.

extended XYZ file:
```
4
Lattice="1.768 1.021 11.570 -1.768 1.021 11.570 0.000 -2.042 11.570" Properties=species:S:1:pos:R:3 pbc="T T T"
Pm 0.000 0.000 0.000
Tl 0.000 0.000 3.213
Tl 0.000 0.000 31.497
Hg 0.000 0.000 17.355
```

Results
- Calculated formation energy: 0.098 eV/atom

---

No. 7
The following is a PBE-GGA calculation of an optimized crystal structure of PmTl2Hg5, from Alexandria via LeMat-Bulk.

extended XYZ file:
```
8
Lattice="-2.391 2.391 9.345 2.391 -2.391 9.345 2.391 2.391 -9.345" Properties=species:S:1:pos:R:3 pbc="T T T"
Pm 0.000 0.000 0.000
Tl 0.000 0.000 4.598
Tl 0.000 0.000 14.091
Hg 2.391 0.000 2.259
Hg 2.391 0.000 7.085
Hg 0.000 0.000 9.345
Hg 0.000 2.391 2.259
Hg 0.000 2.391 7.085
```

Results
- Calculated formation energy: -0.196 eV/atom

---

No. 8
The following is a PBE-GGA calculation of an optimized crystal structure of Pm4Tl5Hg2, from Alexandria via LeMat-Bulk.

extended XYZ file:
```
11
Lattice="8.468 0.000 0.000 0.000 3.764 0.000 -0.117 0.000 9.967" Properties=species:S:1:pos:R:3 pbc="T T T"
Pm 1.795 0.000 3.618
Pm 1.924 0.000 8.916
Pm 6.427 0.000 1.052
Pm 6.557 0.000 6.350
Tl 1.040 1.882 6.235
Tl 3.793 1.882 1.575
Tl 4.176 1.882 4.984
Tl 4.559 1.882 8.392
Tl 7.311 1.882 3.732
Hg 0.700 1.882 1.274
Hg 7.652 1.882 8.693
```

Results
- Calculated formation energy: -0.333 eV/atom

---

| no. | calculated total energy (eV/atom) |
| --- | --- |
| 1 | -2.744 |
| 2 | -2.623 |
| 3 | -3.701 |
| 4 | -2.815 |
| 5 | -3.234 |
| 6 | -2.348 |
| 7 | -1.570 |
| 8 | -3.191 |